1.
Entry from Alexandria via LeMat-Bulk: a relaxed Li2SnPt crystal (PBE-GGA).

The space group is F-43m (No. 216) and the conventional cell measures 6.352, 6.352 and 6.352 Å, with angles of 90.00, 90.00 and 90.00 degrees. The inequivalent atoms are Li at (0.000, 0.000, 0.000), Li at (0.250, 0.250, 0.250), Sn at (0.000, 0.000, 0.500) and Pt at (0.250, 0.250, 0.750).

As for the magnetic moment: 0.000 μB per formula unit. The calculation puts the formation energy at -254 kJ/mol of formula units. The value obtained for the density of states at the Fermi level is 5.88 states/eV per cell.

---

2.
Entry from Alexandria via LeMat-Bulk: a relaxed La2VHgPt crystal (PBE-GGA).

The space group is P4/mmm (No. 123) and the conventional cell measures 5.223, 5.223 and 4.958 Å, with angles of 90.00, 90.00 and 90.00 degrees. The inequivalent atoms are La at (0.000, 0.500, 0.000), V at (0.000, 0.000, 0.000), Hg at (0.000, 0.000, 0.500) and Pt at (0.500, 0.500, 0.500).

As for the magnetic moment: 0.001 μB per formula unit. The calculation puts the formation energy at 165 kJ/mol of formula units. The value obtained for the density of states at the Fermi level is 7.19 states/eV per cell.

---

3.
Entry from Alexandria via LeMat-Bulk: a relaxed SrCaMgF6 crystal (PBE-GGA).

The space group is P-31c (No. 163) and the conventional cell measures 5.6701, 5.6701 and 10.1561 Å, with angles of 90.00, 90.00 and 120.00 degrees. The inequivalent atoms are Sr at (0.0000, 0.0000, 0.0000), Ca at (0.3333, 0.6667, 0.2500), Mg at (0.3333, 0.6667, 0.7500) and F at (0.0323, 0.3710, 0.6403).

As for the magnetic moment: 0.000 μB per formula unit. The value obtained for the density of states at the Fermi level is 0.00 states/eV per cell. Its uncorrected formation energy is -3.77 eV per atom.

---

Question: Look up the density of states at the Fermi level of the third one.
Answer: 0.00 states/eV per cell

---

Please write out number 3 again, unchanged.
Entry from Alexandria via LeMat-Bulk: a relaxed SrCaMgF6 crystal (PBE-GGA).

The space group is P-31c (No. 163) and the conventional cell measures 5.6701, 5.6701 and 10.1561 Å, with angles of 90.00, 90.00 and 120.00 degrees. The inequivalent atoms are Sr at (0.0000, 0.0000, 0.0000), Ca at (0.3333, 0.6667, 0.2500), Mg at (0.3333, 0.6667, 0.7500) and F at (0.0323, 0.3710, 0.6403).

As for the magnetic moment: 0.000 μB per formula unit. The value obtained for the density of states at the Fermi level is 0.00 states/eV per cell. Its uncorrected formation energy is -3.77 eV per atom.

---

Question: Which of these has the highest magnetic moment?
Answer: La2VHgPt